(1)
Compound: TmGe2Rh3
Source: Alexandria via LeMat-Bulk
Functional: PBE-GGA
Structure: relaxed

**E_form**: -0.79 eV/atom
**Crystal system**: monoclinic
**Symmetry**: No. 12

Lattice parameters (Å, degrees): 8.418 8.418 9.726 107.55 107.55 27.61
Fractional coordinates of all 18 atoms:
Tm (0.000, 0.000, 0.000)
Tm (0.164, 0.164, 0.705)
Tm (0.836, 0.836, 0.295)
Ge (0.192, 0.192, 0.127)
Ge (0.362, 0.362, 0.546)
Ge (0.460, 0.460, 0.217)
Ge (0.540, 0.540, 0.783)
Ge (0.638, 0.638, 0.454)
Ge (0.808, 0.808, 0.873)
Rh (0.038, 0.038, 0.329)
Rh (0.216, 0.216, 0.392)
Rh (0.319, 0.319, 0.042)
Rh (0.383, 0.383, 0.807)
Rh (0.500, 0.500, 0.500)
Rh (0.617, 0.617, 0.193)
Rh (0.681, 0.681, 0.958)
Rh (0.784, 0.784, 0.608)
Rh (0.962, 0.962, 0.671)

(2)
Compound: TmGeRh
Source: Alexandria via LeMat-Bulk
Functional: PBE-GGA
Structure: relaxed

**E_form**: -1.00 eV/atom
**Crystal system**: orthorhombic
**Symmetry**: No. 62

Lattice parameters (Å, degrees): 6.839 4.290 7.530 90.00 90.00 90.00
Fractional coordinates of all 12 atoms:
Tm (0.004, 0.250, 0.196)
Tm (0.496, 0.750, 0.696)
Tm (0.504, 0.250, 0.304)
Tm (0.996, 0.750, 0.804)
Ge (0.214, 0.750, 0.393)
Ge (0.286, 0.250, 0.893)
Ge (0.714, 0.750, 0.107)
Ge (0.786, 0.250, 0.607)
Rh (0.157, 0.250, 0.566)
Rh (0.343, 0.750, 0.066)
Rh (0.657, 0.250, 0.934)
Rh (0.843, 0.750, 0.434)

(3)
Compound: TmGe2Rh
Source: Alexandria via LeMat-Bulk
Functional: PBE-GGA
Structure: relaxed

**E_form**: -0.78 eV/atom
**Crystal system**: orthorhombic
**Symmetry**: No. 62

Lattice parameters (Å, degrees): 6.625 4.288 10.094 90.00 90.00 90.00
Fractional coordinates of all 16 atoms:
Tm (0.230, 0.250, 0.179)
Tm (0.270, 0.750, 0.679)
Tm (0.730, 0.250, 0.321)
Tm (0.770, 0.750, 0.821)
Ge (0.039, 0.750, 0.338)
Ge (0.241, 0.250, 0.471)
Ge (0.259, 0.750, 0.971)
Ge (0.461, 0.250, 0.838)
Ge (0.539, 0.750, 0.162)
Ge (0.741, 0.250, 0.029)
Ge (0.759, 0.750, 0.529)
Ge (0.961, 0.250, 0.662)
Rh (0.085, 0.250, 0.902)
Rh (0.415, 0.750, 0.402)
Rh (0.585, 0.250, 0.598)
Rh (0.915, 0.750, 0.098)